A relaxed structure of SrCaNb, computed with PBE.

a = 9.7795 Å, b = 3.6037 Å, c = 12.3239 Å
α = 90.00°, β = 110.38°, γ = 90.00°
Closest atoms and distances in Å follow each position.
Element x y z (fractional)
Sr1 0.5302 0.0000 0.1906  2 Nb 3.60, 5 Sr 3.60-3.93, 3 Ca 3.93-4.01
Sr2 0.5302 0.5000 0.6906  2 Nb 3.60, 5 Sr 3.60-3.93, 3 Ca 3.93-4.01
Sr3 0.3247 0.0000 0.8723  5 Nb 3.55-3.56, 1 Ca 3.55, 5 Sr 3.60-3.93
Sr4 0.3247 0.5000 0.3723  5 Nb 3.55-3.56, 1 Ca 3.55, 5 Sr 3.60-3.93
Nb1 0.1934 0.0000 0.5653  2 Nb 2.57
Nb2 0.1934 0.5000 0.0653  2 Nb 2.57
Nb3 0.0643 0.0000 0.1436  2 Nb 2.57
Nb4 0.0643 0.5000 0.6436  2 Nb 2.57
Ca1 0.9497 0.0000 0.8417  5 Nb 3.46-3.52, 1 Sr 3.55, 5 Ca 3.60-3.78
Ca2 0.9497 0.5000 0.3417  5 Nb 3.46-3.52, 1 Sr 3.55, 5 Ca 3.60-3.78
Ca3 0.7650 0.0000 0.5227  2 Nb 3.32, 3 Ca 3.60-3.71
Ca4 0.7650 0.5000 0.0227  2 Nb 3.32, 3 Ca 3.60-3.71

energy relative to the elements = 431 meV per atom
E above lowest polymorph = 0.000 eV/f.u.
total moment = 0.000 μB/atom
V = 407 Å³/cell
crystal system = monoclinic